AcHoLuGa PBE relaxed; DFT formation energy = 35 kJ/mol of formula units; total magnetic moment = 0.7 μB/cell; D(E_F) = 7.51 states/eV per cell; E = -3.967 eV/atom
1.0
0.000 3.847 3.847
3.847 0.000 3.847
3.847 3.847 0.000
Ac Ho Lu Ga
1 1 1 1
Cartesian
0.000 0.000 0.000
1.924 1.924 1.924
5.771 5.771 5.771
3.847 3.847 3.847